Entry 1:
Entry from Alexandria via LeMat-Bulk: a relaxed structure of CdNiN2O (GGA+U).

Output
Electronic total energy in eV/atom: -3.98
Space group: P4/mmm, No. 123
Volume in Å³ per cell: 56
Fermi-level density of states in states/eV per atom: 0.356

Lattice parameters (Å, degrees): 3.7518 3.7518 3.9925 90.00 90.00 90.00
Fractional coordinates of all 5 atoms:
Cd 0.0000 0.0000 0.0000
Ni 0.5000 0.5000 0.5000
N 0.0000 0.5000 0.5000
N 0.5000 0.0000 0.5000
O 0.5000 0.5000 0.0000

=====

Entry 2:
Entry from Alexandria via LeMat-Bulk: a relaxed structure of CdNiN2O (GGA+U).

Output
Electronic total energy in eV/atom: -2.78
Space group: P4/mmm, No. 123
Volume in Å³ per cell: 73
Fermi-level density of states in states/eV per atom: 1.450

Lattice parameters (Å, degrees): 4.1970 4.1970 4.1675 90.00 90.00 90.00
Fractional coordinates of all 5 atoms:
Cd 0.0000 0.0000 0.0000
Ni 0.5000 0.5000 0.5000
N 0.0000 0.5000 0.0000
N 0.5000 0.0000 0.0000
O 0.0000 0.0000 0.5000